{"formula": "U4HgPd15", "functional": "PBE-GGA", "state": "relaxed", "density_g_cm3": 12.986, "dos_at_fermi_per_ev_cell": 32.0, "sg": "P4/mmm, No. 123", "energy_ev_per_cell": -132.75, "crystal_system": "tetragonal", "m_tot_mub_per_cell": 7.78, "lattice_angstrom": [[-0.1310, -3.7074, -1.8354], [4.1335, -0.0436, -0.2071], [0.8239, -9.1197, 18.3627]], "species": ["Pd", "Pd", "Pd", "Pd", "Pd", "Pd", "Pd", "Pd", "Pd", "Pd", "Pd", "Pd", "Pd", "Pd", "Pd", "U", "U", "U", "U", "Hg"], "frac_coords": [[0.0000, 0.5000, 0.7023], [0.5000, 0.5000, 0.8009], [0.0000, 0.5000, 0.1011], [0.5000, 0.0000, 0.5000], [0.5000, 0.5000, 0.6006], [0.5000, 0.0000, 0.2977], [0.5000, 0.0000, 0.7023], [0.5000, 0.0000, 0.1011], [0.5000, 0.5000, 0.0000], [0.5000, 0.0000, 0.8989], [0.0000, 0.5000, 0.2977], [0.0000, 0.5000, 0.8989], [0.5000, 0.5000, 0.1991], [0.0000, 0.5000, 0.5000], [0.5000, 0.5000, 0.3994], [0.0000, 0.0000, 0.3983], [0.0000, 0.0000, 0.8060], [0.0000, 0.0000, 0.1940], [0.0000, 0.0000, 0.6017], [0.0000, 0.0000, 0.0000]]}